Density functional theory data (GGA-PBE) for a relaxed Cr2AgP crystal.

The crystal system is tetragonal. The formation energy comes out at 1.2 eV per formula unit. Its final energy is -6.578 eV per atom.

The space group is I-4m2 (No. 119) and the conventional cell measures 3.829, 3.829 and 8.070 Å, with angles of 90.00, 90.00 and 90.00 degrees. The asymmetric unit holds Cr at (0.000, 0.000, 0.000), Cr at (0.000, 0.500, 0.250), Ag at (0.000, 0.000, 0.500) and P at (0.000, 0.500, 0.750).